Arrangement a

The following is a PBE-GGA calculation of crystalline Pm2LuCd at its relaxed geometry, from Alexandria via LeMat-Bulk.

Cell: 3.6659 3.6659 8.9633 Å, 90.00 90.00 90.00°
Element x y z (fractional)
Pm 0.0000 0.0000 0.2311
Pm 0.0000 0.0000 0.7689
Lu 0.5000 0.5000 0.5000
Cd 0.5000 0.5000 0.0000

Output
Fermi-level density of states = 5.4 states/eV per cell
Magnetic moment = 0.000 μB per atom

Arrangement b

The following is a PBE-GGA calculation of crystalline Pm2LuCd at its relaxed geometry, from Alexandria via LeMat-Bulk.

Cell: 5.5006 5.5006 5.5006 Å, 60.00 60.00 60.00°
Element x y z (fractional)
Pm 0.2500 0.2500 0.2500
Pm 0.7500 0.7500 0.7500
Cd 0.5000 0.5000 0.5000
Lu 0.0000 0.0000 0.0000

Output
Fermi-level density of states = 4.8 states/eV per cell
Magnetic moment = 0.000 μB per atom

Arrangement c

The following is a PBE-GGA calculation of crystalline Pm2LuCd at its relaxed geometry, from Alexandria via LeMat-Bulk.

Cell: 3.4852 3.4852 12.4200 Å, 81.93 81.93 60.00°
Element x y z (fractional)
Lu 0.5000 0.5000 0.5000
Cd 0.0000 0.0000 0.0000
Pm 0.0896 0.0896 0.7311
Pm 0.9104 0.9104 0.2689

Output
Fermi-level density of states = 3.3 states/eV per cell
Magnetic moment = 0.000 μB per atom

Which one is most stable, and which one is least stable? arrangement a is the most stable of them, while arrangement c is the least stable.

Arrangement a

The following is a PBE-GGA calculation of crystalline Pr2LuCd at its relaxed geometry, from Alexandria via LeMat-Bulk.

Cell: 3.7311 3.7311 8.9492 Å, 90.00 90.00 90.00°
Element x y z (fractional)
Lu 0.5000 0.5000 0.5000
Pr 0.0000 0.0000 0.7676
Pr 0.0000 0.0000 0.2324
Cd 0.5000 0.5000 0.0000

Output
Fermi-level density of states = 5.4 states/eV per cell
Magnetic moment = 0.000 μB per atom

Arrangement b

The following is a PBE-GGA calculation of crystalline Pr2LuCd at its relaxed geometry, from Alexandria via LeMat-Bulk.

Cell: 3.5239 3.5239 12.5608 Å, 81.94 81.94 60.00°
Element x y z (fractional)
Lu 0.5000 0.5000 0.5000
Pr 0.0898 0.0898 0.7307
Pr 0.9102 0.9102 0.2693
Cd 0.0000 0.0000 0.0000

Output
Fermi-level density of states = 3.9 states/eV per cell
Magnetic moment = 0.000 μB per atom

Which one is most stable, and which one is least stable? arrangement a is the most stable of them, while arrangement b is the least stable.